A relaxed structure of TcAgMo2, computed with PBE.

a = 2.7750 Å, b = 2.7750 Å, c = 8.3440 Å
α = 90.00°, β = 90.00°, γ = 90.00°
Closest atoms and distances in Å follow each position.
Space group P4/mmm (No. 123)
Asymmetric unit:
Tc 0.0000 0.0000 0.0000 [1 per cell]  8 Mo 2.73, 4 Tc 2.77
Ag 0.0000 0.0000 0.5000 [1 per cell]  4 Ag 2.77, 8 Mo 3.00
Mo 0.5000 0.5000 0.2276 [2 per cell]  4 Tc 2.73, 4 Mo 2.77, 4 Ag 3.00

Summary:
spin magnetization: 0.000 Bohr magnetons per cell
formation enthalpy at 0 K: 32 kJ/mol of atoms
density of states at the Fermi level: 1.02 states/eV/atom
energy above the most stable polymorph in this dataset: 0.0590 eV per atom